Compound: MgCo2Cl
Source: Alexandria via LeMat-Bulk
Functional: PBE
Structure: optimized geometry

Geometry as POSCAR:
```
MgCo2Cl
1.0
0.000 3.055 3.055
3.055 0.000 3.055
3.055 3.055 0.000
Mg Co Cl
1 2 1
Direct
0.000 0.000 0.000
0.250 0.250 0.250
0.750 0.750 0.750
0.500 0.500 0.500
```

Summary:
SG	Fm-3m (225)
E above lowest polymorph	743.5	meV per atom

Compound: NiPb2W
Source: Alexandria via LeMat-Bulk
Functional: PBE
Structure: optimized geometry

Geometry as POSCAR:
```
NiPb2W
1.0
1.606 0.927 8.843
-1.606 0.927 8.843
0.000 -1.854 8.843
Ni Pb W
1 2 1
Direct
0.000 0.000 0.000
0.256 0.256 0.256
0.744 0.744 0.744
0.500 0.500 0.500
```

Summary:
SG	R-3m (166)
E above lowest polymorph	422.9	meV per atom
ΔH_f (0 K)	821.9	meV/atom

Compound: LiCa2PdF
Source: Alexandria via LeMat-Bulk
Functional: PBE
Structure: optimized geometry

Geometry as POSCAR:
```
LiCa2PdF
1.0
4.917 0.000 0.000
0.000 4.917 0.000
0.000 0.000 4.013
Li Ca Pd F
1 2 1 1
Direct
0.000 0.000 0.000
0.000 0.500 0.500
0.500 0.000 0.500
0.500 0.500 0.000
0.000 0.000 0.500
```

Summary:
SG	P4/mmm (123)

Compound: HfBeSeN2
Source: Alexandria via LeMat-Bulk
Functional: PBE
Structure: optimized geometry

Geometry as POSCAR:
```
HfBeSeN2
1.0
3.650 0.000 0.000
0.000 3.650 0.000
0.000 0.000 4.647
Hf Be Se N
1 1 1 2
Direct
0.000 0.000 0.000
0.500 0.500 0.500
0.500 0.500 0.000
0.000 0.500 0.500
0.500 0.000 0.500
```

Summary:
SG	P4/mmm (123)
E above lowest polymorph	0.0	meV per atom

Total energy values, unit eV/atom, following the record order: -3.7411 -5.7159 -3.9574 -6.2783.